NaPm2Dy3Te6: optimized geometry, GGA-PBE.

Properties
- E_form (uncorrected): -1345 meV/atom
- N(E_F): 4.04 states/eV/cell
- Total DFT energy (no corrections): -0.3652 Ry/atom
- SG: C2/m

Lattice parameters (Å, degrees): 4.388 8.898 9.913 103.39 102.79 90.00
Positions (direct):
Pm: 0.829 0.655 0.658
Pm: 0.171 0.345 0.342
Te: 0.000 0.254 0.999
Te: 0.668 0.078 0.336
Te: 0.662 0.590 0.325
Te: 0.338 0.410 0.675
Te: 0.000 0.746 0.001
Te: 0.332 0.922 0.664
Dy: 0.834 0.172 0.667
Dy: 0.166 0.828 0.333
Dy: 0.500 0.500 0.000
Na: 0.500 0.000 0.000